(1)
Entry from Alexandria: an optimized crystal structure of PrSn2Pd7 (PBE).

Summary:
symmetry	Cmmm
calculated volume	227.21	Å³/f.u.

Unit cell a=4.6224 b=7.6182 c=7.6182 alpha=122.12 beta=90.00 gamma=90.00
Closest atoms and distances in Å follow each position.
Atoms (fractional coordinates):
Pd: 0.0000 0.2110 0.7890  2 Sn 2.60, 1 Pr 2.81
Pd: 0.5000 0.0708 0.2935  2 Sn 2.62-2.86, 2 Pd 2.69-2.77
Pd: 0.0000 0.7890 0.2110  2 Sn 2.60, 1 Pr 2.81
Pd: 0.5000 0.9292 0.7065  2 Sn 2.62-2.86, 2 Pd 2.69-2.77
Pd: 0.5000 0.5000 0.5000  2 Sn 2.66, 4 Pd 2.77
Pd: 0.5000 0.2935 0.0708  2 Sn 2.62-2.86, 2 Pd 2.69-2.77
Pd: 0.5000 0.7065 0.9292  2 Sn 2.62-2.86, 2 Pd 2.69-2.77
Sn: 0.5000 0.6995 0.3005  7 Pd 2.60-2.86
Sn: 0.5000 0.3005 0.6995  7 Pd 2.60-2.86
Pr: 0.0000 0.0000 0.0000  10 Pd 2.81-3.06

(2)
Entry from Alexandria: an optimized crystal structure of PrSn2Pd6 (PBE).

Summary:
symmetry	P6/mmm
calculated volume	192.80	Å³/f.u.

Unit cell a=5.6225 b=5.6225 c=7.0426 alpha=90.00 beta=90.00 gamma=120.00
Closest atoms and distances in Å follow each position.
Atoms (fractional coordinates):
Sn: 0.6667 0.3333 0.5000  6 Pd 2.70
Sn: 0.3333 0.6667 0.5000  6 Pd 2.70
Pd: 0.0000 0.5001 0.1941  2 Sn 2.70, 5 Pd 2.73-2.81
Pd: 0.5001 0.0000 0.1941  2 Sn 2.70, 5 Pd 2.73-2.81
Pd: 0.4999 0.0000 0.8059  2 Sn 2.70, 5 Pd 2.73-2.81
Pd: 0.0000 0.4999 0.8059  2 Sn 2.70, 5 Pd 2.73-2.81
Pd: 0.5001 0.5001 0.8059  2 Sn 2.70, 5 Pd 2.73-2.81
Pd: 0.4999 0.4999 0.1941  2 Sn 2.70, 5 Pd 2.73-2.81
Pr: 0.0000 0.0000 0.0000  12 Pd 3.13

(3)
Entry from Alexandria: an optimized crystal structure of Pr3Sn2Pd7 (PBE).

Summary:
relative energy among the computed polymorphs	71.2	meV/atom
symmetry	P2/m
calculated volume	272.31	Å³/f.u.

Unit cell a=4.0727 b=4.3178 c=15.7084 alpha=99.68 beta=90.00 gamma=90.00
Closest atoms and distances in Å follow each position.
Atoms (fractional coordinates):
Sn: 0.0000 0.9552 0.8331  5 Pd 2.60-2.69
Sn: 0.0000 0.0448 0.1669  5 Pd 2.60-2.69
Pd: 0.5000 0.1135 0.2789  2 Sn 2.67, 2 Pr 2.92-2.94, 4 Pd 2.97
Pd: 0.0000 0.2050 0.4239  6 Pr 2.98-3.32, 6 Pd 3.03-3.22
Pd: 0.5000 0.8865 0.7211  2 Sn 2.67, 2 Pr 2.92-2.94, 4 Pd 2.97
Pd: 0.0000 0.3920 0.7296  2 Sn 2.69, 2 Pr 2.94, 4 Pd 2.97
Pd: 0.0000 0.0000 0.0000  2 Sn 2.60
Pd: 0.0000 0.6080 0.2704  2 Sn 2.69, 2 Pr 2.94, 4 Pd 2.97
Pd: 0.0000 0.7950 0.5761  6 Pr 2.98-3.32, 6 Pd 3.03-3.22
Pr: 0.5000 0.3059 0.5929  8 Pd 2.92-2.98
Pr: 0.5000 0.6941 0.4071  8 Pd 2.92-2.98
Pr: 0.5000 0.5000 0.0000  4 Pd 2.97

(4)
Entry from Alexandria: an optimized crystal structure of Pr2SnPd4 (PBE).

Summary:
symmetry	I4/mmm
calculated volume	182.40	Å³/f.u.

Unit cell a=4.9495 b=4.9495 c=8.2270 alpha=107.51 beta=107.51 gamma=90.00
Closest atoms and distances in Å follow each position.
Atoms (fractional coordinates):
Pr: 0.6364 0.6364 0.2727  1 Pd 2.77
Pr: 0.3636 0.3636 0.7273  1 Pd 2.77
Pd: 0.1777 0.1777 0.3554  1 Sn 2.65, 1 Pr 2.77
Pd: 0.5000 0.0000 0.0000  2 Sn 2.47
Pd: 0.0000 0.5000 0.0000  2 Sn 2.47
Pd: 0.8223 0.8223 0.6446  1 Sn 2.65, 1 Pr 2.77
Sn: 0.0000 0.0000 0.0000  6 Pd 2.47-2.65

(5)
Entry from Alexandria: an optimized crystal structure of Pr2SnPd3 (PBE).

Summary:
symmetry	P6_3/mmc
calculated volume	140.55	Å³/f.u.

Unit cell a=4.6621 b=4.6621 c=14.9331 alpha=90.00 beta=90.00 gamma=120.00
Closest atoms and distances in Å follow each position.
Atoms (fractional coordinates):
Pr: 0.0000 0.0000 0.6190  9 Pd 3.14-3.33, 3 Sn 3.33
Pr: 0.0000 0.0000 0.3810  9 Pd 3.14-3.33, 3 Sn 3.33
Pr: 0.0000 0.0000 0.8810  9 Pd 3.14-3.33, 3 Sn 3.33
Pr: 0.0000 0.0000 0.1190  9 Pd 3.14-3.33, 3 Sn 3.33
Pd: 0.3333 0.6667 0.4889  3 Pd 2.71
Pd: 0.3333 0.6667 0.7500  3 Sn 2.69
Pd: 0.6667 0.3333 0.9889  3 Pd 2.71
Pd: 0.6667 0.3333 0.2500  3 Sn 2.69
Pd: 0.3333 0.6667 0.0111  3 Pd 2.71
Pd: 0.6667 0.3333 0.5111  3 Pd 2.71
Sn: 0.3333 0.6667 0.2500  3 Pd 2.69
Sn: 0.6667 0.3333 0.7500  3 Pd 2.69

(6)
Entry from Alexandria: an optimized crystal structure of PrSn2Pd5 (PBE).

Summary:
relative energy among the computed polymorphs	31.7	meV/atom
symmetry	Immm
calculated volume	160.26	Å³/f.u.

Unit cell a=3.9857 b=6.9199 c=6.9199 alpha=63.15 beta=73.26 gamma=73.26
Closest atoms and distances in Å follow each position.
Atoms (fractional coordinates):
Pd: 0.0000 0.5000 0.5000  2 Sn 2.69, 8 Pd 2.84
Pd: 0.6282 0.1729 0.5707  3 Sn 2.61-2.76, 4 Pd 2.84-2.88
Pd: 0.3718 0.8271 0.4293  3 Sn 2.61-2.76, 4 Pd 2.84-2.88
Pd: 0.3718 0.4293 0.8271  3 Sn 2.61-2.76, 4 Pd 2.84-2.88
Pd: 0.6282 0.5707 0.1729  3 Sn 2.61-2.76, 4 Pd 2.84-2.88
Sn: 0.7580 0.7420 0.7420  7 Pd 2.61-2.76
Sn: 0.2420 0.2580 0.2580  7 Pd 2.61-2.76
Pr: 0.0000 0.0000 0.0000  10 Pd 3.28-3.62, 4 Sn 3.49

(7)
Entry from Alexandria: an optimized crystal structure of Pr3SnPd (PBE).

Summary:
symmetry	P1
calculated volume	150.12	Å³/f.u.

Unit cell a=6.1625 b=6.2852 c=8.4280 alpha=96.22 beta=84.25 gamma=69.33
Closest atoms and distances in Å follow each position.
Atoms (fractional coordinates):
Pr: 0.3844 0.8869 0.1094  2 Pd 2.96-3.02, 2 Sn 3.25-3.31
Pr: 0.3553 0.6495 0.4783  2 Pd 3.02-3.04, 1 Sn 3.20
Pr: 0.6211 0.0588 0.6797  3 Sn 3.23-3.31, 2 Pd 3.23-3.29, 1 Pr 3.57
Pr: 0.0546 0.5700 0.9041  2 Pd 2.96-3.17, 1 Sn 3.21
Pr: 0.9940 0.3190 0.4997  2 Pd 3.00-3.16, 1 Sn 3.29
Pr: 0.7452 0.2537 0.1256  1 Pd 2.93, 1 Sn 3.26
Pd: 0.2353 0.3927 0.1945  1 Sn 2.82, 5 Pr 2.93-3.04
Pd: 0.5772 0.5940 0.7823  7 Pr 3.02-3.34, 1 Sn 3.09
Sn: 0.1237 0.0207 0.7979  1 Pd 3.09, 8 Pr 3.20-3.33
Sn: 0.8405 0.7980 0.3054  1 Pd 2.82

(8)
Entry from Alexandria: an optimized crystal structure of PrSn3Pd2 (PBE).

Summary:
symmetry	C2/m
calculated volume	139.13	Å³/f.u.

Unit cell a=4.5639 b=9.1179 c=10.7860 alpha=105.64 beta=90.00 gamma=104.49
Closest atoms and distances in Å follow each position.
Atoms (fractional coordinates):
Sn: 0.9550 0.9099 0.6513  4 Pd 2.71-2.89
Sn: 0.7799 0.5597 0.6316  4 Pd 2.65-2.90
Sn: 0.3706 0.7412 0.8181  4 Pd 2.72-2.81, 1 Sn 2.91
Sn: 0.6608 0.3216 0.9310  4 Pd 2.65-2.86, 1 Sn 2.91
Sn: 0.6294 0.2588 0.1819  4 Pd 2.72-2.81, 1 Sn 2.91
Sn: 0.0450 0.0901 0.3487  4 Pd 2.71-2.89
Sn: 0.3392 0.6784 0.0690  4 Pd 2.65-2.86, 1 Sn 2.91
Sn: 0.5000 0.0000 0.5000  4 Pd 2.75-2.90, 4 Sn 3.04
Sn: 0.2201 0.4403 0.3684  4 Pd 2.65-2.90
Pd: 0.8080 0.6160 0.9034  6 Sn 2.70-2.86
Pd: 0.6441 0.2883 0.4482  7 Sn 2.65-2.90
Pd: 0.3559 0.7117 0.5518  7 Sn 2.65-2.90
Pd: 0.1920 0.3840 0.0966  6 Sn 2.70-2.86
Pd: 0.5151 0.0301 0.7747  5 Sn 2.65-2.90
Pd: 0.4849 0.9699 0.2253  5 Sn 2.65-2.90
Pr: 0.8434 0.6868 0.2953  6 Sn 3.33-3.63, 6 Pd 3.55-3.71
Pr: 0.1566 0.3132 0.7047  6 Sn 3.33-3.63, 6 Pd 3.55-3.71
Pr: 0.0000 0.0000 0.0000  6 Pd 3.26-3.40, 6 Sn 3.43-3.62

(9)
Entry from Alexandria: an optimized crystal structure of Pr2Sn4Pd9 (PBE).

Summary:
symmetry	P-3m1
calculated volume	302.09	Å³/f.u.

Unit cell a=4.5734 b=4.5734 c=16.6779 alpha=90.00 beta=90.00 gamma=120.00
Closest atoms and distances in Å follow each position.
Atoms (fractional coordinates):
Pd: 0.0000 0.0000 0.3344  1 Pd 2.76, 3 Sn 2.82, 3 Pr 3.02
Pd: 0.6667 0.3333 0.4370  4 Sn 2.73-2.81, 3 Pd 2.84
Pd: 0.3333 0.6667 0.5630  4 Sn 2.73-2.81, 3 Pd 2.84
Pd: 0.0000 0.0000 0.8516  3 Sn 2.74, 3 Pd 3.06
Pd: 0.0000 0.0000 0.5000  8 Pd 2.76-2.84
Pd: 0.0000 0.0000 0.6656  1 Pd 2.76, 3 Sn 2.82, 3 Pr 3.02
Pd: 0.3333 0.6667 0.9447  4 Sn 2.68-2.77
Pd: 0.6667 0.3333 0.0553  4 Sn 2.68-2.77
Pd: 0.0000 0.0000 0.1484  3 Sn 2.74, 3 Pd 3.06
Sn: 0.6667 0.3333 0.8948  7 Pd 2.68-2.77
Sn: 0.6667 0.3333 0.6056  7 Pd 2.73-2.82
Sn: 0.3333 0.6667 0.3944  7 Pd 2.73-2.82
Sn: 0.3333 0.6667 0.1052  7 Pd 2.68-2.77
Pr: 0.3333 0.6667 0.7536  8 Pd 3.02-3.19
Pr: 0.6667 0.3333 0.2464  8 Pd 3.02-3.19

(10)
Entry from Alexandria: an optimized crystal structure of PrSnPd (PBE).

Summary:
symmetry	Pnma
calculated volume	72.33	Å³/f.u.

Unit cell a=4.7470 b=7.5820 c=8.0383 alpha=90.00 beta=90.00 gamma=90.00
Closest atoms and distances in Å follow each position.
Atoms (fractional coordinates):
Sn: 0.2500 0.3133 0.0873  4 Pd 2.75-2.93
Sn: 0.2500 0.8133 0.4127  4 Pd 2.75-2.93
Sn: 0.7500 0.6867 0.9127  4 Pd 2.75-2.93
Sn: 0.7500 0.1867 0.5873  4 Pd 2.75-2.93
Pr: 0.7500 0.0126 0.2000  6 Pd 3.16-3.49, 6 Sn 3.29-3.41
Pr: 0.7500 0.5126 0.3000  6 Pd 3.16-3.49, 6 Sn 3.29-3.41
Pr: 0.2500 0.9874 0.8000  6 Pd 3.16-3.49, 6 Sn 3.29-3.41
Pr: 0.2500 0.4874 0.7000  6 Pd 3.16-3.49, 6 Sn 3.29-3.41
Pd: 0.2500 0.6995 0.0848  4 Sn 2.75-2.93
Pd: 0.7500 0.3005 0.9152  4 Sn 2.75-2.93
Pd: 0.7500 0.8005 0.5848  4 Sn 2.75-2.93
Pd: 0.2500 0.1995 0.4152  4 Sn 2.75-2.93

(11)
Entry from Alexandria: an optimized crystal structure of Pr3Sn2Pd4 (PBE).

Summary:
symmetry	C2/m
calculated volume	213.85	Å³/f.u.

Unit cell a=4.6087 b=5.6561 c=9.0300 alpha=95.33 beta=90.00 gamma=114.04
Closest atoms and distances in Å follow each position.
Atoms (fractional coordinates):
Pr: 0.6253 0.2506 0.3848  6 Pd 2.95-3.25
Pr: 0.0000 0.0000 0.0000  6 Pd 3.07-3.28
Pr: 0.3747 0.7494 0.6152  6 Pd 2.95-3.25
Pd: 0.7208 0.4417 0.0877  3 Sn 2.75, 2 Pd 2.89, 2 Pr 2.95-3.07
Pd: 0.0830 0.1661 0.6292  1 Pd 2.75, 2 Sn 2.80, 1 Pr 3.03
Pd: 0.2792 0.5583 0.9123  3 Sn 2.75, 2 Pd 2.89, 2 Pr 2.95-3.07
Pd: 0.9170 0.8339 0.3708  1 Pd 2.75, 2 Sn 2.80, 1 Pr 3.03
Sn: 0.6758 0.3515 0.7818  5 Pd 2.75-2.80
Sn: 0.3242 0.6485 0.2182  5 Pd 2.75-2.80

(12)
Entry from Alexandria: an optimized crystal structure of PrSnPd (PBE).

Summary:
symmetry	P-6m2
calculated volume	73.65	Å³/f.u.

Unit cell a=3.7570 b=4.7577 c=4.7577 alpha=120.00 beta=90.00 gamma=90.00
Closest atoms and distances in Å follow each position.
Atoms (fractional coordinates):
Pd: 0.1668 0.6667 0.3333  3 Sn 2.75
Pr: 0.6666 0.3333 0.6667  6 Pd 3.33, 6 Sn 3.33
Sn: 0.1666 0.0000 0.0000  3 Pd 2.75

no.,energy of formation from the pure elements (meV/atom)
1,-239.7
2,-507.3
3,-601.0
4,-294.0
5,-743.8
6,-587.6
7,-541.8
8,-611.7
9,-624.8
10,-894.9
11,-801.1
12,-867.6